The following is a GGA-PBE calculation of a relaxed structure of Ho4CuRh3, from the Alexandria database.

ΔH_f (0 K) in eV per atom: -0.75
Spin magnetization in μB per formula unit: 0.00
Space-group type: Pmmm, No. 47

abc: 3.4259 4.8363 9.6877
angles: 90.00 90.00 90.00
With the nearest neighbours (Å) after each atom.
Fractional coordinates of all 8 atoms:
Rh 0.5000 0.0000 0.2514  8 Ho 2.96-2.98
Rh 0.5000 0.5000 0.5000  8 Ho 2.95-2.96
Rh 0.5000 0.0000 0.7486  8 Ho 2.96-2.98
Ho 0.0000 0.0000 0.5000  8 Rh 2.96
Ho 0.0000 0.5000 0.7473  6 Rh 2.95-2.96, 2 Cu 2.99
Ho 0.0000 0.0000 0.0000  4 Cu 2.96, 4 Rh 2.98
Ho 0.0000 0.5000 0.2527  6 Rh 2.95-2.96, 2 Cu 2.99
Cu 0.5000 0.5000 0.0000  8 Ho 2.96-2.99

---

The following is a GGA-PBE calculation of a relaxed structure of FeBiBr2, from the Alexandria database.

Spin magnetization in μB per formula unit: 0.00
Formation energy without anion corrections in eV/atom: 0.085
Energy relative to the lowest polymorph listed for this composition in meV/atom: 0
Space-group type: R-3m, No. 166

abc: 11.1610 11.1610 11.1610
angles: 18.04 18.04 18.04
With the nearest neighbours (Å) after each atom.
Fractional coordinates of all 4 atoms:
Bi 0.0000 0.0000 0.0000  6 Bi 3.50
Br 0.8739 0.8739 0.8739  3 Fe 2.42
Br 0.1261 0.1261 0.1261  3 Fe 2.42
Fe 0.5000 0.5000 0.5000  6 Br 2.42

---

The following is a GGA-PBE calculation of a relaxed structure of Cs2NaHfF6, from the Alexandria database.

Spin magnetization in μB per formula unit: 0.75
Formation energy without anion corrections in eV/atom: -3.034
Space-group type: R-3m, No. 166

abc: 6.6661 6.6661 11.3115
angles: 72.86 72.86 60.00
With the nearest neighbours (Å) after each atom.
Fractional coordinates of all 20 atoms:
Cs 0.8754 0.8754 0.3737  12 F 3.35-3.52
Cs 0.1246 0.1246 0.6263  12 F 3.35-3.52
Cs 0.7175 0.7175 0.8475  12 F 3.27-3.40
Cs 0.2825 0.2825 0.1525  12 F 3.27-3.40
Na 0.6012 0.6012 0.1965  6 F 2.28-2.47
Na 0.3988 0.3988 0.8035  6 F 2.28-2.47
Hf 0.0000 0.0000 0.0000  6 F 2.10
Hf 0.5000 0.5000 0.5000  6 F 2.07
F 0.8160 0.4048 0.3744  1 Hf 2.07
F 0.4048 0.8160 0.3744  1 Hf 2.07
F 0.4048 0.4048 0.3744  1 Hf 2.07
F 0.1840 0.5952 0.6256  1 Hf 2.07
F 0.5952 0.1840 0.6256  1 Hf 2.07
F 0.5952 0.5952 0.6256  1 Hf 2.07
F 0.7089 0.1916 0.9079  1 Hf 2.10, 1 Na 2.28
F 0.1916 0.7089 0.9079  1 Hf 2.10, 1 Na 2.28
F 0.1916 0.1916 0.9079  1 Hf 2.10, 1 Na 2.28
F 0.2911 0.8084 0.0921  1 Hf 2.10, 1 Na 2.28
F 0.8084 0.2911 0.0921  1 Hf 2.10, 1 Na 2.28
F 0.8084 0.8084 0.0921  1 Hf 2.10, 1 Na 2.28

---

The following is a GGA-PBE calculation of a relaxed structure of LaSc2Mn, from the Alexandria database.

ΔH_f (0 K) in eV per atom: 0.08
Spin magnetization in μB per formula unit: 1.39
Energy relative to the lowest polymorph listed for this composition in meV/atom: 0
Space-group type: P4/mmm, No. 123

abc: 3.2428 3.2422 8.8377
angles: 90.00 90.00 90.00
With the nearest neighbours (Å) after each atom.
Fractional coordinates of all 4 atoms:
La 0.5000 0.5000 0.2500  4 La 3.24
Mn 0.5000 0.5000 0.7500  8 Sc 2.78
Sc 0.0000 0.0000 0.9270  4 Mn 2.78
Sc 0.0000 0.0000 0.5730  4 Mn 2.78

---

The following is a GGA-PBE calculation of a relaxed structure of Ac7Pd5Rh, from the Alexandria database.

ΔH_f (0 K) in eV per atom: -0.70
Spin magnetization in μB per formula unit: 0.00
Space-group type: P1, No. 1

abc: 4.3080 7.6440 25.9774
angles: 90.02 90.00 106.43
With the nearest neighbours (Å) after each atom.
Fractional coordinates of all 26 atoms:
Ac 0.4362 0.8729 0.2500  2 Rh 3.01, 2 Pd 3.10-3.11
Ac 0.5645 0.1284 0.7500  2 Rh 3.01, 2 Pd 3.10
Ac 0.6359 0.2719 0.0376  6 Pd 3.09-3.15
Ac 0.3648 0.7295 0.9624  6 Pd 3.09-3.15
Ac 0.3647 0.7293 0.5376  6 Pd 3.09-3.15
Ac 0.6357 0.2715 0.4624  6 Pd 3.09-3.15
Ac 0.1889 0.3772 0.1782  3 Pd 3.04-3.11, 2 Rh 3.24
Ac 0.8118 0.6242 0.8218  3 Pd 3.04-3.11, 2 Rh 3.24
Ac 0.8117 0.6241 0.6782  3 Pd 3.04-3.11, 2 Rh 3.23-3.24
Ac 0.1888 0.3769 0.3218  3 Pd 3.03-3.11, 2 Rh 3.23
Ac 0.9109 0.8218 0.1097  5 Pd 3.08-3.14
Ac 0.0899 0.1797 0.8902  5 Pd 3.08-3.14
Ac 0.0898 0.1795 0.6098  5 Pd 3.08-3.14
Ac 0.9106 0.8212 0.3901  5 Pd 3.08-3.14
Pd 0.0003 0.0007 0.0000  6 Ac 3.09-3.14
Pd 0.7248 0.4496 0.9277  6 Ac 3.04-3.14
Pd 0.2758 0.5518 0.0723  6 Ac 3.04-3.14
Pd 0.5455 0.0910 0.3524  6 Ac 3.08-3.15
Pd 0.4550 0.9100 0.6476  6 Ac 3.08-3.15
Pd 0.0002 0.0003 0.5000  6 Ac 3.09-3.14
Pd 0.2757 0.5515 0.4278  6 Ac 3.03-3.14
Pd 0.7247 0.4493 0.5722  6 Ac 3.04-3.14
Pd 0.4551 0.9101 0.8524  6 Ac 3.08-3.15
Pd 0.5457 0.0913 0.1476  6 Ac 3.08-3.15
Rh 0.7931 0.5863 0.2504  6 Ac 3.01-3.24
Rh 0.2076 0.4150 0.7499  6 Ac 3.01-3.24

---

The following is a GGA-PBE calculation of a relaxed structure of BaCrSb2I, from the Alexandria database.

Spin magnetization in μB per formula unit: 2.78
Formation energy without anion corrections in eV/atom: -0.350
Space-group type: P4/mmm, No. 123

abc: 5.1829 5.1829 6.1298
angles: 90.00 90.00 90.00
With the nearest neighbours (Å) after each atom.
Fractional coordinates of all 5 atoms:
I 0.0000 0.0000 0.5000  2 Cr 3.06
Sb 0.0000 0.5000 0.0000  2 Cr 2.59
Sb 0.5000 0.0000 0.0000  2 Cr 2.59
Ba 0.5000 0.5000 0.5000  4 I 3.66, 8 Sb 4.01
Cr 0.0000 0.0000 0.0000  4 Sb 2.59

---

The following is a GGA-PBE calculation of a relaxed structure of HoBe6Pd6, from the Alexandria database.

ΔH_f (0 K) in eV per atom: -0.54
Spin magnetization in μB per formula unit: 0.00
Space-group type: Immm, No. 71

abc: 4.8884 6.3016 6.3016
angles: 80.82 67.18 67.18
With the nearest neighbours (Å) after each atom.
Fractional coordinates of all 13 atoms:
Ho 0.0000 0.0000 0.0000  8 Pd 2.75-2.86
Be 0.0000 0.5000 0.0000  4 Be 2.40-2.44, 6 Pd 2.45-2.50
Be 0.5000 0.5000 0.0000  4 Be 2.40-2.44, 6 Pd 2.45-2.50
Be 0.0000 0.0000 0.5000  4 Be 2.40-2.44, 6 Pd 2.45-2.50
Be 0.5000 0.0000 0.5000  4 Be 2.40-2.44, 6 Pd 2.45-2.50
Be 0.5000 0.7550 0.2450  4 Be 2.40, 6 Pd 2.47-2.56
Be 0.5000 0.2450 0.7550  4 Be 2.40, 6 Pd 2.47-2.56
Pd 0.3395 0.6605 0.6605  6 Be 2.47-2.49, 1 Pd 2.65
Pd 0.6605 0.3395 0.3395  6 Be 2.47-2.49, 1 Pd 2.65
Pd 0.0000 0.3364 0.6636  6 Be 2.50-2.56, 1 Pd 2.67, 1 Ho 2.75
Pd 0.0000 0.6636 0.3364  6 Be 2.50-2.56, 1 Pd 2.67, 1 Ho 2.75
Pd 0.3209 0.1791 0.1791  6 Be 2.45-2.49
Pd 0.6791 0.8209 0.8209  6 Be 2.45-2.49

---

The following is a GGA-PBE calculation of a relaxed structure of NpHCl6, from the Alexandria database.

Spin magnetization in μB per formula unit: 2.00
Calculated total energy in eV per atom: -4.62
Space-group type: P-1, No. 2

abc: 7.4710 9.5463 6.9131
angles: 50.44 68.82 45.44
With the nearest neighbours (Å) after each atom.
Fractional coordinates of all 8 atoms:
Np 0.0000 0.0000 0.0000  6 Cl 2.47-2.69
H 0.5000 0.5000 0.5000  2 Cl 1.56
Cl 0.0979 0.6429 0.1259  1 Np 2.47
Cl 0.1764 0.0483 0.6034  1 Np 2.47
Cl 0.4619 0.7170 0.2354  1 H 1.56
Cl 0.8236 0.9516 0.3966  1 Np 2.47
Cl 0.9021 0.3571 0.8741  1 Np 2.47
Cl 0.5381 0.2830 0.7646  1 H 1.56

---

The following is a GGA-PBE calculation of a relaxed structure of Dy8TmSc6, from the Alexandria database.

ΔH_f (0 K) in eV per atom: 0.19
Spin magnetization in μB per formula unit: 0.00
Energy relative to the lowest polymorph listed for this composition in meV/atom: 0
Space-group type: R-3, No. 148

abc: 9.3804 9.3804 7.8696
angles: 53.42 53.42 60.00
With the nearest neighbours (Å) after each atom.
Fractional coordinates of all 15 atoms:
Dy 0.3612 0.2283 0.4758  3 Sc 3.17-3.34, 4 Dy 3.53-3.55
Dy 0.7717 0.0653 0.5242  3 Sc 3.17-3.34, 4 Dy 3.53-3.55
Dy 0.0653 0.6388 0.5242  3 Sc 3.17-3.34, 4 Dy 3.53-3.55
Dy 0.5927 0.5927 0.2220  3 Sc 3.03, 1 Dy 3.17
Dy 0.4073 0.4073 0.7780  3 Sc 3.03, 1 Dy 3.17
Dy 0.9347 0.3612 0.4758  3 Sc 3.17-3.34, 4 Dy 3.53-3.55
Dy 0.2283 0.9347 0.4758  3 Sc 3.17-3.34, 4 Dy 3.53-3.55
Dy 0.6388 0.7717 0.5242  3 Sc 3.17-3.34, 4 Dy 3.53-3.55
Tm 0.0000 0.0000 0.0000  6 Sc 3.21
Sc 0.3835 0.9444 0.9622  4 Dy 3.03-3.34, 1 Tm 3.21, 3 Sc 3.24-3.28
Sc 0.0556 0.2901 0.0378  4 Dy 3.03-3.34, 1 Tm 3.21, 3 Sc 3.24-3.28
Sc 0.2901 0.6165 0.0378  4 Dy 3.03-3.34, 1 Tm 3.21, 3 Sc 3.24-3.28
Sc 0.7099 0.3835 0.9622  4 Dy 3.03-3.34, 1 Tm 3.21, 3 Sc 3.24-3.28
Sc 0.9444 0.7099 0.9622  4 Dy 3.03-3.34, 1 Tm 3.21, 3 Sc 3.24-3.28
Sc 0.6165 0.0556 0.0378  4 Dy 3.03-3.34, 1 Tm 3.21, 3 Sc 3.24-3.28

---

The following is a GGA-PBE calculation of a relaxed structure of ZnSiCl2, from the Alexandria database.

Spin magnetization in μB per formula unit: 0.00
Formation energy without anion corrections in eV/atom: -0.027
Energy relative to the lowest polymorph listed for this composition in meV/atom: 293
Space-group type: Pmm2, No. 25

abc: 3.2506 5.6958 4.8587
angles: 90.00 90.00 90.00
With the nearest neighbours (Å) after each atom.
Fractional coordinates of all 4 atoms:
Cl 0.0000 0.0000 0.0858  1 Si 2.05
Cl 0.5000 0.5000 0.1293  2 Zn 2.39-2.47
Si 0.0000 0.0000 0.6634  1 Cl 2.05
Zn 0.5000 0.5000 0.6215  2 Cl 2.39-2.47

---

The following is a GGA-PBE calculation of a relaxed structure of VNi3N, from the Alexandria database.

Spin magnetization in μB per formula unit: 1.80
Formation energy without anion corrections in eV/atom: 2.124
Energy relative to the lowest polymorph listed for this composition in meV/atom: 2016
Space-group type: Pm-3m, No. 221

abc: 4.2529 4.2529 4.2529
angles: 90.00 90.00 90.00
With the nearest neighbours (Å) after each atom.
Fractional coordinates of all 5 atoms:
Ni 0.0000 0.5000 0.0000  2 V 2.13
Ni 0.0000 0.0000 0.5000  2 V 2.13
Ni 0.5000 0.0000 0.0000  2 V 2.13
V 0.0000 0.0000 0.0000  6 Ni 2.13
N 0.5000 0.5000 0.5000  12 Ni 3.01

---

The following is a GGA-PBE calculation of a relaxed structure of MnBr2N, from the Alexandria database.

Spin magnetization in μB per formula unit: 2.94
Formation energy without anion corrections in eV/atom: 1.327
Energy relative to the lowest polymorph listed for this composition in meV/atom: 619
Space-group type: I-42d, No. 122

abc: 6.7385 6.7385 6.8641
angles: 60.60 60.60 90.00
With the nearest neighbours (Å) after each atom.
Fractional coordinates of all 8 atoms:
Mn 0.0000 0.0000 0.0000  4 Br 2.31
Mn 0.7500 0.2500 0.5000  4 Br 2.31
Br 0.7278 0.1250 0.2500  2 Mn 2.31
Br 0.0222 0.6250 0.2500  2 Mn 2.31
Br 0.3750 0.2722 0.7500  2 Mn 2.31
Br 0.8750 0.9778 0.7500  2 Mn 2.31
N 0.5000 0.5000 0.0000  4 Br 3.16
N 0.2500 0.7500 0.5000  4 Br 3.16

---

Question: What is the formula in the twelfth record?
Answer: MnBr2N

---

Question: Among the records above, which one has the highest spin magnetization?
Answer: MnBr2N